Computed, not measured: an optimized crystal structure of Ti3V3Ge5 at the PBE level of DFT.

The space group is C2/m (No. 12) and the conventional cell measures 18.333, 5.087 and 7.797 Å, with angles of 90.00, 115.08 and 90.00 degrees. Symmetry generates all atoms from Ti at (0.066, 0.000, 0.307), Ti at (0.142, 0.500, 0.532), Ti at (0.143, 0.000, 0.751), V at (0.065, 0.500, 0.822), V at (0.191, 0.249, 0.191), Ge at (0.000, 0.253, 0.500), Ge at (0.067, 0.500, 0.159), Ge at (0.069, 0.000, 0.971), Ge at (0.212, 0.500, 0.915) and Ge at (0.215, 0.000, 0.512).

The value obtained for the relative energy among the computed polymorphs is 0 meV/atom. The formation energy from the elements comes out at -0.551 eV per atom. The total energy is -320.77 eV for the cell shown. The density of states at the Fermi level is 26.50 states/eV per cell. The calculation puts the total moment at 0.00 μB per cell.

=====

Computed, not measured: an optimized crystal structure of TbPr2Sb at the PBE level of DFT.

The space group is Fm-3m (No. 225) and the conventional cell measures 7.867, 7.867 and 7.867 Å, with angles of 90.00, 90.00 and 90.00 degrees. Symmetry generates all atoms from Tb at (0.000, 0.000, 0.000), Pr at (0.250, 0.250, 0.250) and Sb at (0.000, 0.000, 0.500).

The value obtained for the relative energy among the computed polymorphs is 218 meV/atom. The total energy is -78.22 eV for the cell shown. The density of states at the Fermi level is 8.86 states/eV per cell. The value obtained for the uncorrected formation energy is -0.311 eV per atom. The calculation puts the total moment at 0.00 μB per cell.

=====

Computed, not measured: an optimized crystal structure of MnCd2Sn at the PBE level of DFT.

The space group is I-42d (No. 122) and the conventional cell measures 8.119, 8.119 and 5.649 Å, with angles of 90.00, 90.00 and 90.00 degrees. Symmetry generates all atoms from Mn at (0.000, 0.000, 0.000), Cd at (0.229, 0.250, 0.125) and Sn at (0.000, 0.000, 0.500).

The formation energy from the elements comes out at 0.347 eV per atom. The total energy is -54.45 eV for the cell shown. The density of states at the Fermi level is 10.58 states/eV per cell. The calculation puts the total moment at 14.87 μB per cell.

=====

Computed, not measured: an optimized crystal structure of Ca3Sb at the PBE level of DFT.

The space group is R-3m (No. 166, hexagonal axes) and the conventional cell measures 11.2193, 11.2193 and 3.7214 Å, with angles of 90.00, 90.00 and 120.00 degrees. Symmetry generates all atoms from Ca at (0.0000, 0.5000, 0.0000) and Sb at (0.0000, 0.0000, 0.0000).

The value obtained for the relative energy among the computed polymorphs is 264 meV/atom. The total energy is -33.64 eV for the cell shown. The density of states at the Fermi level is 16.87 states/eV per cell. The value obtained for the uncorrected formation energy is -0.271 eV per atom. The calculation puts the total moment at 0.00 μB per cell.

=====

Computed, not measured: an optimized crystal structure of TiZn2GaMo at the PBE level of DFT.

The space group is P4/mmm (No. 123) and the conventional cell measures 4.413, 4.413 and 4.804 Å, with angles of 90.00, 90.00 and 90.00 degrees. Symmetry generates all atoms from Ti at (0.000, 0.000, 0.000), Zn at (0.000, 0.500, 0.500), Ga at (0.500, 0.500, 0.500) and Mo at (0.500, 0.500, 0.000).

The formation energy from the elements comes out at 0.857 eV per atom. The total energy is -20.02 eV for the cell shown. The density of states at the Fermi level is 3.73 states/eV per cell. The calculation puts the total moment at 0.00 μB per cell.

=====

Computed, not measured: an optimized crystal structure of FeIrCl2 at the PBE level of DFT.

The space group is I-4m2 (No. 119) and the conventional cell measures 3.525, 3.525 and 10.744 Å, with angles of 90.00, 90.00 and 90.00 degrees. Symmetry generates all atoms from Fe at (0.000, 0.000, 0.000), Ir at (0.000, 0.500, 0.750), Cl at (0.000, 0.000, 0.500) and Cl at (0.000, 0.500, 0.250).

The value obtained for the relative energy among the computed polymorphs is 803 meV/atom. The total energy is -36.18 eV for the cell shown. The density of states at the Fermi level is 7.76 states/eV per cell. The value obtained for the uncorrected formation energy is 0.732 eV per atom. The calculation puts the total moment at 8.16 μB per cell.